1 | # Be2NiSn2 PBE optimized geometry
# D(E_F): 3.9 states/eV/cell
# magnetization: 0.00 μB/f.u.
data_Be2NiSn2
_cell_length_a 6.017
_cell_length_b 6.017
_cell_length_c 6.017
_cell_angle_alpha 139.86
_cell_angle_beta 139.86
_cell_angle_gamma 58.07
_symmetry_space_group_name_H-M 'P 1'
_symmetry_Int_Tables_number 1
loop_
_symmetry_equiv_pos_as_xyz
'x,y,z'
loop_
_atom_site_label
_atom_site_fract_x
_atom_site_fract_y
_atom_site_fract_z
_atom_site_occupancy
Be1 0.096 0.096 0.000 1
Be2 0.904 0.904 0.000 1
Ni1 0.500 0.500 0.000 1
Sn1 0.250 0.750 0.500 1
Sn2 0.750 0.250 0.500 1

---

2 | # Be2NiSn2 PBE optimized geometry
# D(E_F): 4.3 states/eV/cell
# magnetization: 0.00 μB/f.u.
data_Be2NiSn2
_cell_length_a 6.296
_cell_length_b 6.296
_cell_length_c 3.851
_cell_angle_alpha 90.00
_cell_angle_beta 90.00
_cell_angle_gamma 90.00
_symmetry_space_group_name_H-M 'P 1'
_symmetry_Int_Tables_number 1
loop_
_symmetry_equiv_pos_as_xyz
'x,y,z'
loop_
_atom_site_label
_atom_site_fract_x
_atom_site_fract_y
_atom_site_fract_z
_atom_site_occupancy
Be1 0.127 0.373 0.000 1
Be2 0.373 0.873 0.000 1
Be3 0.627 0.127 0.000 1
Be4 0.873 0.627 0.000 1
Ni1 0.000 0.000 0.000 1
Ni2 0.500 0.500 0.000 1
Sn1 0.180 0.680 0.500 1
Sn2 0.320 0.180 0.500 1
Sn3 0.680 0.820 0.500 1
Sn4 0.820 0.320 0.500 1

---

If we sort the structures by their calculated energies, the order from most to least stable is 2, 1.

---

1 | # Be3NiSn PBE optimized geometry
# D(E_F): 2.7 states/eV/cell
# magnetization: 0.00 μB/f.u.
data_Be3NiSn
_cell_length_a 4.481
_cell_length_b 4.481
_cell_length_c 4.481
_cell_angle_alpha 90.00
_cell_angle_beta 90.00
_cell_angle_gamma 90.00
_symmetry_space_group_name_H-M 'P 1'
_symmetry_Int_Tables_number 1
loop_
_symmetry_equiv_pos_as_xyz
'x,y,z'
loop_
_atom_site_label
_atom_site_fract_x
_atom_site_fract_y
_atom_site_fract_z
_atom_site_occupancy
Be1 0.000 0.000 0.500 1
Be2 0.000 0.500 0.000 1
Be3 0.500 0.000 0.000 1
Ni1 0.500 0.500 0.500 1
Sn1 0.000 0.000 0.000 1

---

2 | # Be3NiSn PBE optimized geometry
# D(E_F): 2.1 states/eV/cell
# magnetization: 0.00 μB/f.u.
data_Be3NiSn
_cell_length_a 4.099
_cell_length_b 4.099
_cell_length_c 4.099
_cell_angle_alpha 90.00
_cell_angle_beta 90.00
_cell_angle_gamma 90.00
_symmetry_space_group_name_H-M 'P 1'
_symmetry_Int_Tables_number 1
loop_
_symmetry_equiv_pos_as_xyz
'x,y,z'
loop_
_atom_site_label
_atom_site_fract_x
_atom_site_fract_y
_atom_site_fract_z
_atom_site_occupancy
Be1 0.000 0.000 0.500 1
Be2 0.000 0.500 0.000 1
Be3 0.500 0.000 0.000 1
Ni1 0.000 0.000 0.000 1
Sn1 0.500 0.500 0.500 1

---

If we sort the structures by their calculated energies, the order from most to least stable is 2, 1.

---

1 | # BeNiSn3 PBE optimized geometry
# D(E_F): 2.9 states/eV/cell
# magnetization: 0.00 μB/f.u.
data_BeNiSn3
_cell_length_a 4.822
_cell_length_b 4.822
_cell_length_c 4.822
_cell_angle_alpha 90.00
_cell_angle_beta 90.00
_cell_angle_gamma 90.00
_symmetry_space_group_name_H-M 'P 1'
_symmetry_Int_Tables_number 1
loop_
_symmetry_equiv_pos_as_xyz
'x,y,z'
loop_
_atom_site_label
_atom_site_fract_x
_atom_site_fract_y
_atom_site_fract_z
_atom_site_occupancy
Be1 0.000 0.000 0.000 1
Ni1 0.500 0.500 0.500 1
Sn1 0.000 0.000 0.500 1
Sn2 0.000 0.500 0.000 1
Sn3 0.500 0.000 0.000 1

---

2 | # BeNiSn3 PBE optimized geometry
# D(E_F): 3.0 states/eV/cell
# magnetization: 0.00 μB/f.u.
data_BeNiSn3
_cell_length_a 4.947
_cell_length_b 4.947
_cell_length_c 4.947
_cell_angle_alpha 90.00
_cell_angle_beta 90.00
_cell_angle_gamma 90.00
_symmetry_space_group_name_H-M 'P 1'
_symmetry_Int_Tables_number 1
loop_
_symmetry_equiv_pos_as_xyz
'x,y,z'
loop_
_atom_site_label
_atom_site_fract_x
_atom_site_fract_y
_atom_site_fract_z
_atom_site_occupancy
Be1 0.000 0.000 0.000 1
Ni1 0.500 0.500 0.500 1
Sn1 0.000 0.500 0.500 1
Sn2 0.500 0.000 0.500 1
Sn3 0.500 0.500 0.000 1

---

If we sort the structures by their calculated energies, the order from most to least stable is 2, 1.

---

1 | # SrBe2Ni PBE optimized geometry
# D(E_F): 4.5 states/eV/cell
# magnetization: 0.00 μB/f.u.
data_SrBe2Ni
_cell_length_a 7.922
_cell_length_b 7.922
_cell_length_c 7.922
_cell_angle_alpha 146.49
_cell_angle_beta 146.49
_cell_angle_gamma 48.12
_symmetry_space_group_name_H-M 'P 1'
_symmetry_Int_Tables_number 1
loop_
_symmetry_equiv_pos_as_xyz
'x,y,z'
loop_
_atom_site_label
_atom_site_fract_x
_atom_site_fract_y
_atom_site_fract_z
_atom_site_occupancy
Sr1 0.375 0.625 0.750 1
Sr2 0.625 0.375 0.250 1
Be1 0.000 0.000 0.000 1
Be2 0.000 0.000 0.500 1
Be3 0.000 0.500 0.000 1
Be4 0.500 0.000 0.500 1
Ni1 0.125 0.875 0.250 1
Ni2 0.875 0.125 0.750 1

---

2 | # SrBe2Ni PBE optimized geometry
# D(E_F): 1.5 states/eV/cell
# magnetization: 0.00 μB/f.u.
data_SrBe2Ni
_cell_length_a 3.298
_cell_length_b 3.798
_cell_length_c 5.678
_cell_angle_alpha 90.00
_cell_angle_beta 103.20
_cell_angle_gamma 90.00
_symmetry_space_group_name_H-M 'P 1'
_symmetry_Int_Tables_number 1
loop_
_symmetry_equiv_pos_as_xyz
'x,y,z'
loop_
_atom_site_label
_atom_site_fract_x
_atom_site_fract_y
_atom_site_fract_z
_atom_site_occupancy
Sr1 0.000 0.000 0.000 1
Be1 0.308 0.500 0.629 1
Be2 0.692 0.500 0.371 1
Ni1 0.500 0.000 0.500 1

---

3 | # SrBe2Ni PBE optimized geometry
# D(E_F): 2.3 states/eV/cell
# magnetization: 0.00 μB/f.u.
data_SrBe2Ni
_cell_length_a 3.058
_cell_length_b 3.058
_cell_length_c 6.710
_cell_angle_alpha 90.00
_cell_angle_beta 90.00
_cell_angle_gamma 90.00
_symmetry_space_group_name_H-M 'P 1'
_symmetry_Int_Tables_number 1
loop_
_symmetry_equiv_pos_as_xyz
'x,y,z'
loop_
_atom_site_label
_atom_site_fract_x
_atom_site_fract_y
_atom_site_fract_z
_atom_site_occupancy
Sr1 0.000 0.000 0.000 1
Be1 0.000 0.000 0.527 1
Be2 0.500 0.500 0.352 1
Ni1 0.500 0.500 0.661 1

---

If we sort the structures by their calculated energies, the order from most to least stable is 1, 2, 3.

---

1 | # SrBe2Ni PBE optimized geometry
# D(E_F): 2.8 states/eV/cell
# magnetization: 0.00 μB/f.u.
data_SrBe2Ni
_cell_length_a 4.674
_cell_length_b 4.674
_cell_length_c 4.674
_cell_angle_alpha 126.03
_cell_angle_beta 126.03
_cell_angle_gamma 79.83
_symmetry_space_group_name_H-M 'P 1'
_symmetry_Int_Tables_number 1
loop_
_symmetry_equiv_pos_as_xyz
'x,y,z'
loop_
_atom_site_label
_atom_site_fract_x
_atom_site_fract_y
_atom_site_fract_z
_atom_site_occupancy
Sr1 0.000 0.000 0.000 1
Be1 0.250 0.750 0.500 1
Be2 0.750 0.250 0.500 1
Ni1 0.500 0.500 0.000 1

---

2 | # SrBe2Ni PBE optimized geometry
# D(E_F): 2.8 states/eV/cell
# magnetization: 0.00 μB/f.u.
data_SrBe2Ni
_cell_length_a 4.848
_cell_length_b 4.848
_cell_length_c 4.848
_cell_angle_alpha 133.38
_cell_angle_beta 110.44
_cell_angle_gamma 87.93
_symmetry_space_group_name_H-M 'P 1'
_symmetry_Int_Tables_number 1
loop_
_symmetry_equiv_pos_as_xyz
'x,y,z'
loop_
_atom_site_label
_atom_site_fract_x
_atom_site_fract_y
_atom_site_fract_z
_atom_site_occupancy
Sr1 0.000 0.000 0.000 1
Be1 0.349 0.849 0.500 1
Be2 0.651 0.151 0.500 1
Ni1 0.500 0.500 0.000 1

---

If we sort the structures by their calculated energies, the order from most to least stable is 2, 1.

---

1 | # TaBe2Ni2 PBE optimized geometry
# D(E_F): 7.7 states/eV/cell
# magnetization: 0.07 μB/f.u.
data_TaBe2Ni2
_cell_length_a 6.618
_cell_length_b 6.618
_cell_length_c 2.574
_cell_angle_alpha 90.00
_cell_angle_beta 90.00
_cell_angle_gamma 90.00
_symmetry_space_group_name_H-M 'P 1'
_symmetry_Int_Tables_number 1
loop_
_symmetry_equiv_pos_as_xyz
'x,y,z'
loop_
_atom_site_label
_atom_site_fract_x
_atom_site_fract_y
_atom_site_fract_z
_atom_site_occupancy
Ta1 0.000 0.000 0.000 1
Ta2 0.500 0.500 0.000 1
Be1 0.163 0.337 0.500 1
Be2 0.337 0.837 0.500 1
Be3 0.663 0.163 0.500 1
Be4 0.837 0.663 0.500 1
Ni1 0.131 0.631 0.000 1
Ni2 0.369 0.131 0.000 1
Ni3 0.631 0.869 0.000 1
Ni4 0.869 0.369 0.000 1

---

2 | # TaBe2Ni2 PBE optimized geometry
# D(E_F): 4.2 states/eV/cell
# magnetization: 0.00 μB/f.u.
data_TaBe2Ni2
_cell_length_a 4.912
_cell_length_b 4.912
_cell_length_c 4.912
_cell_angle_alpha 136.02
_cell_angle_beta 136.02
_cell_angle_gamma 63.94
_symmetry_space_group_name_H-M 'P 1'
_symmetry_Int_Tables_number 1
loop_
_symmetry_equiv_pos_as_xyz
'x,y,z'
loop_
_atom_site_label
_atom_site_fract_x
_atom_site_fract_y
_atom_site_fract_z
_atom_site_occupancy
Ta1 0.000 0.000 0.000 1
Be1 0.250 0.750 0.500 1
Be2 0.750 0.250 0.500 1
Ni1 0.368 0.368 0.000 1
Ni2 0.632 0.632 0.000 1

---

If we sort the structures by their calculated energies, the order from most to least stable is 1, 2.

---

1 | # Ta4BeNi PBE optimized geometry
# D(E_F): 12.0 states/eV/cell
# magnetization: 0.00 μB/f.u.
data_Ta4BeNi
_cell_length_a 6.131
_cell_length_b 6.131
_cell_length_c 4.897
_cell_angle_alpha 90.00
_cell_angle_beta 90.00
_cell_angle_gamma 90.00
_symmetry_space_group_name_H-M 'P 1'
_symmetry_Int_Tables_number 1
loop_
_symmetry_equiv_pos_as_xyz
'x,y,z'
loop_
_atom_site_label
_atom_site_fract_x
_atom_site_fract_y
_atom_site_fract_z
_atom_site_occupancy
Ta1 0.154 0.335 0.000 1
Ta2 0.154 0.665 0.500 1
Ta3 0.335 0.154 0.500 1
Ta4 0.335 0.846 0.000 1
Ta5 0.665 0.154 0.000 1
Ta6 0.665 0.846 0.500 1
Ta7 0.846 0.335 0.500 1
Ta8 0.846 0.665 0.000 1
Be1 0.000 0.000 0.250 1
Be2 0.000 0.000 0.750 1
Ni1 0.500 0.500 0.250 1
Ni2 0.500 0.500 0.750 1

---

2 | # Ta4BeNi PBE optimized geometry
# D(E_F): 5.2 states/eV/cell
# magnetization: 0.00 μB/f.u.
data_Ta4BeNi
_cell_length_a 5.332
_cell_length_b 5.332
_cell_length_c 5.332
_cell_angle_alpha 60.00
_cell_angle_beta 60.00
_cell_angle_gamma 60.00
_symmetry_space_group_name_H-M 'P 1'
_symmetry_Int_Tables_number 1
loop_
_symmetry_equiv_pos_as_xyz
'x,y,z'
loop_
_atom_site_label
_atom_site_fract_x
_atom_site_fract_y
_atom_site_fract_z
_atom_site_occupancy
Ta1 0.124 0.124 0.124 1
Ta2 0.124 0.124 0.627 1
Ta3 0.124 0.627 0.124 1
Ta4 0.627 0.124 0.124 1
Be1 0.750 0.750 0.750 1
Ni1 0.500 0.500 0.500 1

---

If we sort the structures by their calculated energies, the order from most to least stable is 1, 2.

---

1 | # TaBe3Ni PBE optimized geometry
# D(E_F): 3.9 states/eV/cell
# magnetization: 0.00 μB/f.u.
data_TaBe3Ni
_cell_length_a 3.850
_cell_length_b 3.850
_cell_length_c 3.850
_cell_angle_alpha 90.00
_cell_angle_beta 90.00
_cell_angle_gamma 90.00
_symmetry_space_group_name_H-M 'P 1'
_symmetry_Int_Tables_number 1
loop_
_symmetry_equiv_pos_as_xyz
'x,y,z'
loop_
_atom_site_label
_atom_site_fract_x
_atom_site_fract_y
_atom_site_fract_z
_atom_site_occupancy
Ta1 0.000 0.000 0.000 1
Be1 0.000 0.500 0.500 1
Be2 0.500 0.000 0.500 1
Be3 0.500 0.500 0.000 1
Ni1 0.500 0.500 0.500 1

---

2 | # TaBe3Ni PBE optimized geometry
# D(E_F): 6.5 states/eV/cell
# magnetization: 0.00 μB/f.u.
data_TaBe3Ni
_cell_length_a 4.383
_cell_length_b 4.383
_cell_length_c 4.383
_cell_angle_alpha 90.00
_cell_angle_beta 90.00
_cell_angle_gamma 90.00
_symmetry_space_group_name_H-M 'P 1'
_symmetry_Int_Tables_number 1
loop_
_symmetry_equiv_pos_as_xyz
'x,y,z'
loop_
_atom_site_label
_atom_site_fract_x
_atom_site_fract_y
_atom_site_fract_z
_atom_site_occupancy
Ta1 0.000 0.000 0.000 1
Be1 0.000 0.000 0.500 1
Be2 0.000 0.500 0.000 1
Be3 0.500 0.000 0.000 1
Ni1 0.500 0.500 0.500 1

---

If we sort the structures by their calculated energies, the order from most to least stable is 1, 2.